Material: CsMnCrO4
Method: DFT, GGA+U
State: relaxed

Structure (POSCAR):
```
CsMnCrO4
1.0
0.202 -3.669 -3.943
-4.097 -3.298 2.859
-6.069 6.289 -1.443
Cs Mn Cr O
2 2 2 8
direct
0.578 0.750 0.861
0.422 0.250 0.139
0.865 0.750 0.506
0.135 0.250 0.494
0.168 0.750 0.307
0.832 0.250 0.693
0.030 0.474 0.665
0.970 0.974 0.335
0.970 0.526 0.335
0.030 0.026 0.665
0.175 0.750 0.121
0.825 0.250 0.879
0.467 0.750 0.472
0.533 0.250 0.528
```

Properties
**Calculated volume**: 18.8 Å³ per atom
**Uncorrected energy**: -93.2 eV/cell
**Space-group type**: P2_1/m (11)
**ρ**: 3.8 g/cm³